(1)
# PBE-GGA LaZrHg2, optimized geometry
# - energy above the most stable polymorph in this dataset (meV per atom) = 0
data_LaZrHg2
_cell_length_a 3.388
_cell_length_b 3.388
_cell_length_c 8.681
_cell_angle_alpha 90.00
_cell_angle_beta 90.00
_cell_angle_gamma 90.00
_space_group_name_H-M_alt 'P 4/m m m'
_space_group_IT_number 123
_space_group_name_Hall '-P 4 2'
loop_
_atom_site_label
_atom_site_type_symbol
_atom_site_fract_x
_atom_site_fract_y
_atom_site_fract_z
_atom_site_occupancy
La1 La 0.000 0.000 0.000 1
Zr1 Zr 0.000 0.000 0.500 1
Hg1 Hg 0.500 0.500 0.276 1

(2)
# PBE-GGA LaZrHg, optimized geometry
# - energy above the most stable polymorph in this dataset (meV per atom) = 364
data_LaZrHg
_cell_length_a 7.209
_cell_length_b 7.209
_cell_length_c 7.209
_cell_angle_alpha 90.00
_cell_angle_beta 90.00
_cell_angle_gamma 90.00
_space_group_name_H-M_alt 'F -4 3 m'
_space_group_IT_number 216
_space_group_name_Hall 'F -4 2 3'
loop_
_atom_site_label
_atom_site_type_symbol
_atom_site_fract_x
_atom_site_fract_y
_atom_site_fract_z
_atom_site_occupancy
La1 La 0.000 0.000 0.000 1
Zr1 Zr 0.000 0.000 0.500 1
Hg1 Hg 0.250 0.250 0.750 1

(3)
# PBE-GGA LaZr3Hg, optimized geometry
# - energy above the most stable polymorph in this dataset (meV per atom) = 429
data_LaZr3Hg
_cell_length_a 5.131
_cell_length_b 5.131
_cell_length_c 5.131
_cell_angle_alpha 90.00
_cell_angle_beta 90.00
_cell_angle_gamma 90.00
_space_group_name_H-M_alt 'P m -3 m'
_space_group_IT_number 221
_space_group_name_Hall '-P 4 2 3'
loop_
_atom_site_label
_atom_site_type_symbol
_atom_site_fract_x
_atom_site_fract_y
_atom_site_fract_z
_atom_site_occupancy
La1 La 0.000 0.000 0.000 1
Zr1 Zr 0.000 0.000 0.500 1
Hg1 Hg 0.500 0.500 0.500 1

(4)
Density functional theory data (PBE-GGA) for crystalline La4ZrHg at its relaxed geometry.

The structure in CIF format:
```
data_La4ZrHg
_cell_length_a 9.145
_cell_length_b 9.145
_cell_length_c 9.145
_cell_angle_alpha 90.00
_cell_angle_beta 90.00
_cell_angle_gamma 90.00
_space_group_name_H-M_alt 'F -4 3 m'
_space_group_IT_number 216
_space_group_name_Hall 'F -4 2 3'
loop_
_atom_site_label
_atom_site_type_symbol
_atom_site_fract_x
_atom_site_fract_y
_atom_site_fract_z
_atom_site_occupancy
La1 La 0.124 0.124 0.124 1
Zr1 Zr 0.250 0.250 0.750 1
Hg1 Hg 0.000 0.000 0.500 1
```

no.,magnetization (μB/f.u.),ΔE_f (eV per atom)
1,0.00,-0.2678
2,1.69,0.2368
3,0.00,1.1757
4,2.04,0.3981